1.
Entry from the Alexandria database: a relaxed NaZr2SN2Cl crystal (PBE).

Cell lengths 10.238, 7.363, 6.420 Å; angles 90.00, 101.72, 90.00 degrees
Fractional coordinates of all 28 atoms:
1 Na 0.009 0.124 0.264
2 Na 0.009 0.376 0.764
3 Na 0.991 0.624 0.236
4 Na 0.991 0.876 0.736
5 Zr 0.369 0.134 0.027
6 Zr 0.369 0.366 0.527
7 Zr 0.374 0.619 0.056
8 Zr 0.374 0.881 0.556
9 Zr 0.626 0.119 0.444
10 Zr 0.626 0.381 0.944
11 Zr 0.631 0.634 0.473
12 Zr 0.631 0.866 0.973
13 S 0.193 0.123 0.648
14 S 0.193 0.377 0.148
15 S 0.807 0.623 0.852
16 S 0.807 0.877 0.352
17 N 0.412 0.634 0.404
18 N 0.412 0.866 0.904
19 N 0.413 0.113 0.372
20 N 0.413 0.387 0.872
21 N 0.587 0.613 0.128
22 N 0.587 0.887 0.628
23 N 0.588 0.134 0.096
24 N 0.588 0.366 0.596
25 Cl 0.170 0.631 0.635
26 Cl 0.170 0.869 0.135
27 Cl 0.830 0.131 0.865
28 Cl 0.830 0.369 0.365

Calculated values
The value obtained for the density is 4.22 g cm⁻³. As for the uncorrected formation energy: -1.62 eV per atom. For the relative energy among the computed polymorphs, the calculation gives 0 meV/atom.

2.
Entry from the Alexandria database: a relaxed NaSiNCl2 crystal (PBE).

Cell lengths 5.126, 5.126, 5.509 Å; angles 90.00, 90.00, 90.00 degrees
Fractional coordinates of all 5 atoms:
1 Na 0.000 0.000 0.000
2 Si 0.000 0.000 0.500
3 N 0.500 0.500 0.500
4 Cl 0.000 0.500 0.000
5 Cl 0.500 0.000 0.000

Calculated values
The value obtained for the density is 1.56 g cm⁻³. As for the uncorrected formation energy: 1.20 eV per atom.

3.
Entry from the Alexandria database: a relaxed NaSi2NCl crystal (PBE).

Cell lengths 3.850, 3.850, 7.736 Å; angles 90.00, 90.00, 90.00 degrees
Fractional coordinates of all 5 atoms:
1 Na 0.000 0.000 0.000
2 Si 0.000 0.500 0.500
3 Si 0.500 0.000 0.500
4 N 0.500 0.500 0.500
5 Cl 0.500 0.500 0.000

Calculated values
The value obtained for the density is 1.86 g cm⁻³. As for the uncorrected formation energy: 0.11 eV per atom.